Computed, not measured: an optimized crystal structure of InBPd2Pt at the GGA-PBE level of DFT.

Computed properties:
E_form (eV per atom): -0.3212
Electronic total energy (eV per atom): -5.490
Total moment (μB/f.u.): 0.000
Volume (Å³/atom): 15.35

abc: 4.270 4.270 4.210
angles: 90.00 90.00 90.00
Space group P4/mmm (No. 123)
Unique sites:
In1 0.000 0.000 0.000 [1 per cell]
B1 0.500 0.500 0.500 [1 per cell]
Pd1 0.000 0.500 0.500 [2 per cell]
Pt1 0.500 0.500 0.000 [1 per cell]